No. 1
{
  "formula": "CsAg2HN",
  "functional": "PBE",
  "state": "relaxed",
  "lattice_angstrom": [[6.988, 0.000, 0.000], [0.000, 4.701, 0.000], [0.000, 0.000, 6.988]],
  "species": ["H", "Cs", "Ag", "Ag", "N"],
  "frac_coords": [[0.000, 0.500, 0.000], [0.000, 0.000, 0.000], [0.000, 0.000, 0.500], [0.500, 0.000, 0.000], [0.500, 0.500, 0.500]],
  "energy_ev_per_atom": -1.656,
  "magnetic_moment_mub_per_cell": 2.435
}

=====

No. 2
{
  "formula": "CsNa2AgH",
  "functional": "PBE",
  "state": "relaxed",
  "lattice_angstrom": [[4.963, 0.000, 0.000], [0.000, 4.963, 0.000], [0.000, 0.000, 6.047]],
  "species": ["H", "Na", "Na", "Cs", "Ag"],
  "frac_coords": [[0.000, 0.000, 0.000], [0.000, 0.500, 0.000], [0.500, 0.000, 0.000], [0.000, 0.000, 0.500], [0.500, 0.500, 0.500]],
  "energy_ev_per_atom": -1.877,
  "magnetic_moment_mub_per_cell": 0.000
}

=====

No. 3
{
  "formula": "Cs2AgH6Pb",
  "functional": "PBE",
  "state": "relaxed",
  "lattice_angstrom": [[-2.905, -5.261, -1.036], [3.680, -2.824, 3.958], [-2.422, -3.126, 4.719]],
  "species": ["H", "H", "H", "H", "H", "H", "Pb", "Cs", "Cs", "Ag"],
  "frac_coords": [[0.730, 0.730, 0.999], [0.263, 0.263, 0.474], [0.729, 0.271, 0.000], [0.270, 0.270, 0.001], [0.737, 0.737, 0.526], [0.271, 0.729, 0.000], [0.000, 0.000, 0.000], [0.750, 0.250, 0.500], [0.250, 0.750, 0.500], [0.500, 0.500, 0.000]],
  "energy_ev_per_atom": -2.749,
  "magnetic_moment_mub_per_cell": 0.000
}

=====

No. 4
{
  "formula": "Cs2Ag2H6Pb",
  "functional": "PBE",
  "state": "relaxed",
  "lattice_angstrom": [[-6.125, 0.370, 1.947], [3.452, -5.285, 1.223], [1.573, 5.766, 3.850]],
  "species": ["Cs", "Cs", "H", "H", "H", "H", "H", "H", "Pb", "Ag", "Ag"],
  "frac_coords": [[0.722, 0.443, 0.167], [0.278, 0.557, 0.833], [0.236, 0.984, 0.730], [0.254, 0.508, 0.277], [0.746, 0.492, 0.723], [0.252, 0.016, 0.270], [0.764, 0.016, 0.270], [0.748, 0.984, 0.730], [0.500, 0.000, 0.500], [0.083, 0.165, 0.251], [0.917, 0.835, 0.749]],
  "energy_ev_per_atom": -2.793,
  "magnetic_moment_mub_per_cell": 0.000
}

=====

No. 5
{
  "formula": "CsAgHPd2",
  "functional": "PBE",
  "state": "relaxed",
  "lattice_angstrom": [[-4.152, -0.804, -0.013], [0.744, -3.786, -3.563], [0.537, -2.819, 3.107]],
  "species": ["H", "Pd", "Pd", "Cs", "Ag"],
  "frac_coords": [[0.000, 0.000, 0.000], [0.500, 0.000, 0.000], [0.000, 0.000, 0.500], [0.000, 0.500, 0.000], [0.500, 0.500, 0.500]],
  "energy_ev_per_atom": -3.080,
  "magnetic_moment_mub_per_cell": 0.000
}

=====

No. 6
{
  "formula": "CsAg2HPd",
  "functional": "PBE",
  "state": "relaxed",
  "lattice_angstrom": [[5.603, 0.000, 0.000], [0.000, 3.403, 0.000], [0.000, 0.000, 5.603]],
  "species": ["Cs", "Pd", "Ag", "Ag", "H"],
  "frac_coords": [[0.500, 0.500, 0.500], [0.000, 0.500, 0.000], [0.500, 0.000, 0.000], [0.000, 0.000, 0.500], [0.000, 0.000, 0.000]],
  "energy_ev_per_atom": -2.636,
  "magnetic_moment_mub_per_cell": 0.000
}

=====

No. 7
{
  "formula": "Cs2AgH4Pd",
  "functional": "PBE",
  "state": "relaxed",
  "lattice_angstrom": [[5.403, 0.000, 0.000], [2.702, 5.906, 0.000], [2.702, 0.000, 11.889]],
  "species": ["H", "H", "H", "H", "H", "H", "H", "H", "Cs", "Cs", "Cs", "Cs", "Ag", "Ag", "Pd", "Pd"],
  "frac_coords": [[0.442, 0.462, 0.603], [0.507, 0.538, 0.397], [0.243, 0.962, 0.103], [0.654, 0.038, 0.103], [0.096, 0.462, 0.397], [0.308, 0.038, 0.897], [0.955, 0.538, 0.603], [0.795, 0.962, 0.897], [0.577, 0.500, 0.846], [0.827, 0.000, 0.346], [0.173, 0.000, 0.654], [0.923, 0.500, 0.154], [0.000, 0.000, 0.000], [0.750, 0.500, 0.500], [0.250, 0.500, 0.500], [0.500, 0.000, 0.000]],
  "energy_ev_per_atom": -3.027,
  "magnetic_moment_mub_per_cell": 0.000
}

=====

No. 8
{
  "formula": "CsAgH6Pt",
  "functional": "PBE",
  "state": "relaxed",
  "lattice_angstrom": [[-2.162, -4.564, -0.627], [1.820, -3.219, -3.496], [3.775, -2.356, 4.136]],
  "species": ["Ag", "H", "H", "H", "H", "H", "H", "Pt", "Cs"],
  "frac_coords": [[0.667, 0.667, 0.500], [0.061, 0.345, 0.341], [0.345, 0.061, 0.659], [0.061, 0.594, 0.659], [0.345, 0.594, 0.341], [0.594, 0.061, 0.341], [0.594, 0.345, 0.659], [0.333, 0.333, 0.500], [0.000, 0.000, 0.000]],
  "energy_ev_per_atom": -3.501,
  "magnetic_moment_mub_per_cell": 0.000
}

=====

No. 9
{
  "formula": "Cs2AgHPt",
  "functional": "PBE",
  "state": "relaxed",
  "lattice_angstrom": [[6.542, 0.000, 0.000], [0.000, 6.542, 0.000], [0.000, 0.000, 3.570]],
  "species": ["H", "Pt", "Ag", "Cs", "Cs"],
  "frac_coords": [[0.000, 0.000, 0.000], [0.000, 0.000, 0.500], [0.500, 0.500, 0.500], [0.000, 0.500, 0.000], [0.500, 0.000, 0.000]],
  "energy_ev_per_atom": -2.762,
  "magnetic_moment_mub_per_cell": 0.000
}

=====

No. 10
{
  "formula": "CsRbAgH",
  "functional": "PBE",
  "state": "relaxed",
  "lattice_angstrom": [[-3.576, 3.451, 3.264], [-5.735, 0.567, -1.466], [-4.199, -2.460, 3.416]],
  "species": ["Cs", "H", "Rb", "Ag"],
  "frac_coords": [[0.500, 0.500, 0.500], [0.750, 0.750, 0.750], [0.000, 0.000, 0.000], [0.250, 0.250, 0.250]],
  "energy_ev_per_atom": -1.914,
  "magnetic_moment_mub_per_cell": 0.000
}

=====

No. 11
{
  "formula": "CsRb2AgH",
  "functional": "PBE",
  "state": "relaxed",
  "lattice_angstrom": [[5.764, 0.000, 0.000], [0.000, 5.764, 0.000], [0.000, 0.000, 6.268]],
  "species": ["Ag", "Rb", "Rb", "H", "Cs"],
  "frac_coords": [[0.500, 0.500, 0.500], [0.000, 0.500, 0.000], [0.500, 0.000, 0.000], [0.000, 0.000, 0.000], [0.000, 0.000, 0.500]],
  "energy_ev_per_atom": -1.779,
  "magnetic_moment_mub_per_cell": 0.000
}

=====

No. 12
{
  "formula": "Cs2Rb2AgH4",
  "functional": "PBE",
  "state": "relaxed",
  "lattice_angstrom": [[-0.248, 6.799, -1.560], [-0.204, -4.433, -5.387], [-5.529, -2.621, 3.358]],
  "species": ["H", "H", "H", "H", "Ag", "Rb", "Rb", "Cs", "Cs"],
  "frac_coords": [[0.000, 0.806, 0.194], [0.611, 0.806, 0.806], [0.000, 0.194, 0.806], [0.389, 0.194, 0.194], [0.000, 0.000, 0.000], [0.000, 0.676, 0.676], [0.000, 0.324, 0.324], [0.500, 0.750, 0.250], [0.500, 0.250, 0.750]],
  "energy_ev_per_atom": -2.025,
  "magnetic_moment_mub_per_cell": 0.000
}